The following is a DFT calculation (GGA+U) of crystalline Ca2Nd2Nb3FeO14 at its relaxed geometry.

a b c (Å): 12.7543 7.5510 7.3710
angles (deg): 90.00 124.32 90.00
With the nearest neighbours (Å) after each atom.
Space group C2/m (No. 12)
Unique sites:
Ca: 0.0000 0.0000 0.0000 (multiplicity 2)  2 O 2.24
Ca: 0.0000 0.0000 0.5000 (multiplicity 2)  2 O 2.28
Nd: 0.2500 0.2500 0.0000 (multiplicity 4)  2 O 2.31
Nb: 0.0000 0.5000 0.0000 (multiplicity 2)  6 O 1.98-2.02
Nb: 0.2500 0.2500 0.5000 (multiplicity 4)  6 O 1.98-2.03
Fe: 0.0000 0.5000 0.5000 (multiplicity 2)  6 O 2.04-2.05
O: 0.0775 0.5000 0.8302 (multiplicity 4)  1 Nb 1.98, 1 Fe 2.05
O: 0.1244 0.0000 0.8751 (multiplicity 4)  2 Ca 2.24-2.28, 2 Nd 2.31
O: 0.1250 0.3042 0.1763 (multiplicity 8)  2 Nb 2.02-2.03
O: 0.1280 0.3026 0.5785 (multiplicity 8)  1 Nb 1.98, 1 Fe 2.04
O: 0.1807 0.0000 0.4315 (multiplicity 4)  2 Nb 2.02

## Properties
Its raw total energy is -8.21 eV/atom.

---

The following is a DFT calculation (GGA+U) of crystalline Ca2NbFeO6 at its relaxed geometry.

a b c (Å): 5.4807 5.6311 9.5441
angles (deg): 90.00 124.85 90.00
With the nearest neighbours (Å) after each atom.
Space group P2_1/c (No. 14)
Unique sites:
Ca: 0.2363 0.0498 0.2483 (multiplicity 4)  5 O 2.34-2.60
Nb: 0.5000 0.0000 0.0000 (multiplicity 2)  6 O 2.02
Fe: 0.0000 0.0000 0.5000 (multiplicity 2)  6 O 2.04-2.05
O: 0.1583 0.2035 0.9533 (multiplicity 4)  1 Nb 2.02, 1 Fe 2.04
O: 0.2485 0.7075 0.9503 (multiplicity 4)  1 Nb 2.02, 1 Fe 2.05
O: 0.3432 0.0285 0.7514 (multiplicity 4)  1 Nb 2.02, 1 Fe 2.04

## Properties
For the energy above the most stable polymorph in this dataset, the calculation gives 0.000 eV/atom.